1.
Computed, not measured: Na2Li3TlBr6 after structural relaxation at the PBE level of DFT.

Cell lengths 18.3395, 4.1437, 8.5402 Å; angles 90.00, 104.95, 90.00 degrees
Space group C2/m (No. 12)
Unique sites:
Na (0.1677, 0.0000, 0.3328)
Li (0.0000, 0.5000, 0.5000)
Li (0.1689, 0.0000, 0.8152)
Tl (0.0000, 0.5000, 0.0000)
Br (0.0085, 0.0000, 0.7152)
Br (0.1633, 0.5000, 0.5885)
Br (0.1807, 0.5000, 0.0830)

- D(E_F) (states/eV/atom) = 0.00
- formation energy from raw total energies (eV per atom) = -1.387


2.
Computed, not measured: Si2NiP after structural relaxation at the PBE level of DFT.

Cell lengths 2.7144, 2.7144, 24.7179 Å; angles 90.00, 90.00, 120.00 degrees
Space group R-3m (No. 166, hexagonal axes)
Unique sites:
Si (0.0000, 0.0000, 0.2410)
Ni (0.0000, 0.0000, 0.5000)
P (0.0000, 0.0000, 0.0000)

- D(E_F) (states/eV/atom) = 0.62
- formation energy from raw total energies (eV per atom) = 0.180


3.
Computed, not measured: CrAs2SeS after structural relaxation at the PBE level of DFT.

Cell lengths 4.7479, 4.7479, 4.7031 Å; angles 90.00, 90.00, 90.00 degrees
Space group P4/mmm (No. 123)
Unique sites:
Cr (0.0000, 0.0000, 0.0000)
As (0.0000, 0.5000, 0.5000)
Se (0.5000, 0.5000, 0.0000)
S (0.5000, 0.5000, 0.5000)

- D(E_F) (states/eV/atom) = 1.21
- offset from the most stable computed form (meV/atom) = 774
- formation energy from raw total energies (eV per atom) = 1.202


4.
Computed, not measured: ScCd6Hg12 after structural relaxation at the PBE level of DFT.

Cell lengths 11.2865, 11.2865, 12.7890 Å; angles 90.00, 90.00, 120.00 degrees
Space group R-3 (No. 148, hexagonal axes)
Unique sites:
Sc (0.0000, 0.0000, 0.0000)
Cd (0.0216, 0.5858, 0.7135)
Hg (0.0405, 0.8555, 0.8189)
Hg (0.0620, 0.2034, 0.4034)

- energy of formation (eV per atom) = -0.023
- D(E_F) (states/eV/atom) = 0.37


5.
Computed, not measured: Li2InRu after structural relaxation at the PBE level of DFT.

Cell lengths 2.7503, 4.3271, 5.5239 Å; angles 90.00, 103.47, 90.00 degrees
Space group Pm (No. 6)
Unique sites:
Li (0.0000, 0.0000, 0.0000)
Li (0.1205, 0.5000, 0.7696)
In (0.3867, 0.0000, 0.4857)
Ru (0.7275, 0.5000, 0.2484)

- energy of formation (eV per atom) = 0.054
- D(E_F) (states/eV/atom) = 0.48


6.
Computed, not measured: Li3InF after structural relaxation at the PBE level of DFT.

Cell lengths 4.2091, 4.2091, 4.2091 Å; angles 90.00, 90.00, 90.00 degrees
Space group Pm-3m (No. 221)
Unique sites:
Li (0.0000, 0.0000, 0.5000)
In (0.5000, 0.5000, 0.5000)
F (0.0000, 0.0000, 0.0000)

- D(E_F) (states/eV/atom) = 0.24
- offset from the most stable computed form (meV/atom) = 0
- formation energy from raw total energies (eV per atom) = -1.183


7.
Computed, not measured: AcTc4C2 after structural relaxation at the PBE level of DFT.

Cell lengths 3.9804, 14.3726, 3.9487 Å; angles 90.00, 90.00, 90.00 degrees
Space group Cmmm (No. 65)
Unique sites:
Ac (0.0000, 0.0000, 0.0000)
Tc (0.0000, 0.1818, 0.5000)
Tc (0.0000, 0.3110, 0.0000)
C (0.0000, 0.3622, 0.5000)

- energy of formation (eV per atom) = 0.078
- D(E_F) (states/eV/atom) = 0.47


8.
Computed, not measured: KSrCo2Cl8 after structural relaxation at the PBE level of DFT.

Cell lengths 6.5975, 6.5975, 28.4450 Å; angles 90.00, 90.00, 120.00 degrees
Space group R-3 (No. 148, hexagonal axes)
Unique sites:
K (0.0000, 0.0000, 0.0000)
Sr (0.0000, 0.0000, 0.5000)
Co (0.0000, 0.0000, 0.2534)
Cl (0.0000, 0.0000, 0.3298)
Cl (0.0015, 0.3602, 0.4386)

- D(E_F) (states/eV/atom) = 1.20
- formation energy from raw total energies (eV per atom) = -1.258


| no. | density (Mg/m³) |
| --- | --- |
| 1 | 3.98 |
| 2 | 4.61 |
| 3 | 4.90 |
| 4 | 11.04 |
| 5 | 5.97 |
| 6 | 3.44 |
| 7 | 9.45 |
| 8 | 2.45 |